[1]
Computed, not measured: crystalline LiZr2Se at its relaxed geometry at the GGA-PBE level of DFT.

Unit cell a=3.9323 b=3.5532 c=5.5291 alpha=71.23 beta=90.00 gamma=90.00
Element x y z (fractional)
Zr 0.0000 0.9667 0.9412
Zr 0.5000 0.2811 0.3132
Se 0.5000 0.5602 0.7549
Li 0.0000 0.6919 0.4907

Summary:
- space-group type = Amm2 (38)

***

[2]
Computed, not measured: crystalline LiZr3Se6 at its relaxed geometry at the GGA-PBE level of DFT.

Unit cell a=6.6405 b=8.3903 c=8.3903 alpha=101.91 beta=90.00 gamma=90.00
Element x y z (fractional)
Se 0.6780 0.9657 0.0343
Se 0.1392 0.7673 0.2327
Se 0.2254 0.0974 0.5443
Se 0.1786 0.3708 0.2996
Se 0.2254 0.4557 0.9026
Se 0.7254 0.5443 0.0974
Se 0.1786 0.7004 0.6292
Se 0.6786 0.6292 0.7004
Se 0.1780 0.0343 0.9657
Se 0.6392 0.2327 0.7673
Se 0.7254 0.9026 0.4557
Se 0.6786 0.2996 0.3708
Zr 0.4873 0.2707 0.0695
Zr 0.3747 0.4007 0.5993
Zr 0.8747 0.5993 0.4007
Zr 0.4873 0.9305 0.7293
Zr 0.9873 0.0695 0.2707
Zr 0.9873 0.7293 0.9305
Li 0.5108 0.7903 0.2097
Li 0.0108 0.2097 0.7903

Summary:
- space-group type = Cmc2_1 (36)

***

no.,E_tot (eV/atom)
1,-6.23
2,-6.08